{
  "formula": "Dy3SbH2",
  "functional": "GGA-PBE",
  "state": "relaxed",
  "lattice": [[10.908, -1.986, 0.000], [10.908, 1.986, 0.000], [-1.533, 0.000, 5.926]],
  "species": ["Dy", "Dy", "Dy", "Dy", "Dy", "Dy", "Sb", "Sb", "H", "H", "H", "H"],
  "fractional_positions": [[0.042, 0.042, 0.280], [0.230, 0.230, 0.212], [0.400, 0.400, 0.149], [0.600, 0.600, 0.851], [0.770, 0.770, 0.788], [0.958, 0.958, 0.720], [0.349, 0.349, 0.594], [0.651, 0.651, 0.406], [0.058, 0.058, 0.927], [0.292, 0.292, 0.982], [0.708, 0.708, 0.018], [0.942, 0.942, 0.073]],
  "e_tot_ev_per_cell": -56.6,
  "spacegroup": "C2/m (12)",
  "crystal_system": "monoclinic"
}